(1)
Material: TlCoOsPb2
Method: DFT, PBE
State: optimized geometry

```
5
Lattice="5.0917 0.0000 0.0000 0.0000 4.6171 0.0000 0.0000 0.0000 5.0917" Properties=species:S:1:pos:R:3 pbc="T T T"
Pb 0.0000 0.0000 2.5459
Pb 2.5459 0.0000 0.0000
Co 0.0000 0.0000 0.0000
Tl 2.5459 2.3085 2.5459
Os 0.0000 2.3085 0.0000
```

(2)
Material: La3Pr7Dy2
Method: DFT, PBE
State: optimized geometry

```
12
Lattice="3.6293 0.0000 0.0000 0.0000 6.5548 0.7866 0.0000 2.4594 18.4335" Properties=species:S:1:pos:R:3 pbc="T T T"
La 1.8146 3.2774 0.3933
La 0.0000 1.6018 6.3318
La 0.0000 7.4124 12.8884
Pr 1.8146 2.8318 9.4401
Pr 1.8146 6.1824 9.7801
Pr 0.0000 4.1030 3.5645
Pr 0.0000 0.0000 0.0000
Pr 0.0000 4.9112 15.6557
Pr 1.8146 8.2340 16.0554
Pr 1.8146 0.7802 3.1648
Dy 1.8146 4.8722 6.5722
Dy 1.8146 4.1420 12.6480
```

Output
The energy above the most stable polymorph in this dataset is 0 meV per atom.

(3)
Material: LaTb2CePm2
Method: DFT, PBE
State: optimized geometry

```
12
Lattice="-0.7828 3.2073 0.7841 0.7995 -1.3664 6.3873 17.5010 4.5681 -1.2134" Properties=species:S:1:pos:R:3 pbc="T T T"
La 0.0000 0.0000 0.0000
La 8.7589 3.2045 2.9790
Tb 6.4374 2.1312 5.0517
Tb 11.0803 4.2778 0.9063
Tb 15.5046 2.9393 3.4560
Tb 2.7959 0.2624 1.7179
Ce 0.0084 0.9204 3.5857
Ce 8.7505 2.2841 -0.6067
Pm 5.3324 2.6382 1.8747
Pm 3.8929 -0.2309 4.8309
Pm 12.1853 3.7708 4.0833
Pm 14.4076 3.4326 0.3430
```

no.,E_form (kJ/mol of atoms),Fermi-level density of states (states/eV/cell)
1,86.8,4.11
2,7.0,19.51
3,26.7,27.09